Pa2BeTe | GGA-PBE | relaxed

a = 4.0742 Å, b = 4.0742 Å, c = 20.8446 Å
α = 90.00°, β = 90.00°, γ = 120.00°
Space group R-3m (No. 166, hexagonal axes)
Unique sites:
Pa1 0.0000 0.0000 0.2322 x6
Be1 0.0000 0.0000 0.5000 x3
Te1 0.0000 0.0000 0.0000 x3

Output
As for the raw formation energy: -48 meV/atom.

TiCd2Ga2 | GGA-PBE | relaxed

a = 6.9950 Å, b = 6.9950 Å, c = 4.0447 Å
α = 90.00°, β = 90.00°, γ = 90.00°
Space group P4/mbm (No. 127)
Unique sites:
Ti1 0.0000 0.0000 0.0000 x2
Cd1 0.1792 0.3208 0.5000 x4
Ga1 0.1307 0.6307 0.0000 x4

Output
The offset from the most stable computed form is 0.00 eV per formula unit. As for the energy relative to the elements: 0.11 eV per atom.

| no. | volume (A^3/atom) | D(E_F) (states/eV/cell) |
| --- | --- | --- |
| 1 | 24.970 | 19.868 |
| 2 | 19.791 | 5.685 |